[1]
MgBe2CdTc: optimized geometry, GGA-PBEsol.

a b c (Å): 4.2705 4.2705 5.0237
angles (deg): 90.00 90.00 90.00
Fractional positions:
Be (0.0000, 0.5000, 0.0000)
Be (0.5000, 0.0000, 0.0000)
Cd (0.0000, 0.0000, 0.5000)
Tc (0.0000, 0.0000, 0.0000)
Mg (0.5000, 0.5000, 0.5000)

Values from the calculation:
The formation energy is 0.85 eV/atom. The calculation puts the total moment at 0.000 μB/f.u.

[2]
MnBe2Cd: optimized geometry, GGA-PBEsol.

a b c (Å): 3.6954 3.6954 8.5587
angles (deg): 102.47 102.47 90.00
Fractional positions:
Be (0.1250, 0.2077, 0.7500)
Be (0.7923, 0.3750, 0.2500)
Be (0.6250, 0.5423, 0.7500)
Be (0.4577, 0.8750, 0.2500)
Cd (0.0000, 0.0000, 0.0000)
Cd (0.2500, 0.7500, 0.5000)
Mn (0.7500, 0.2500, 0.5000)
Mn (0.5000, 0.5000, 0.0000)

Values from the calculation:
The formation energy is 0.75 eV/atom. The calculation puts the total moment at 2.293 μB/f.u.

[3]
MnBeCd3: optimized geometry, GGA-PBEsol.

a b c (Å): 4.5559 4.5559 4.5559
angles (deg): 90.00 90.00 90.00
Fractional positions:
Cd (0.0000, 0.0000, 0.5000)
Cd (0.0000, 0.5000, 0.0000)
Cd (0.5000, 0.0000, 0.0000)
Be (0.0000, 0.0000, 0.0000)
Mn (0.5000, 0.5000, 0.5000)

Values from the calculation:
The formation energy is 0.62 eV/atom. The calculation puts the total moment at 4.399 μB/f.u.